i | Below is a geometry-optimized B3RuI structure, with properties calculated at the PBE level.

Summary:
Spin magnetization: 0.0000 μB per atom

Geometry as extended XYZ:
```
5
Lattice="4.259 0.000 0.000 0.000 4.259 0.000 0.000 0.000 4.259" Properties=species:S:1:pos:R:3 pbc="T T T"
I 2.130 2.130 2.130
Ru 0.000 0.000 0.000
B 0.000 2.130 0.000
B 0.000 0.000 2.130
B 2.130 0.000 0.000
```

ii | Below is a geometry-optimized B3RuI structure, with properties calculated at the PBE level.

Summary:
Spin magnetization: 0.3435 μB per atom

Geometry as extended XYZ:
```
5
Lattice="4.320 0.000 0.000 0.000 4.320 0.000 0.000 0.000 4.320" Properties=species:S:1:pos:R:3 pbc="T T T"
I 0.000 0.000 0.000
Ru 2.160 2.160 2.160
B 0.000 2.160 0.000
B 0.000 0.000 2.160
B 2.160 0.000 0.000
```

Most stable structure - i; separation to the second - 1678 meV per atom.

i | Below is a geometry-optimized BSb2RuI structure, with properties calculated at the PBE level.

Summary:
Spin magnetization: 0.0003 μB per atom

Geometry as extended XYZ:
```
5
Lattice="-0.087 2.535 3.914 -4.427 1.185 -0.866 -1.519 -3.869 2.472" Properties=species:S:1:pos:R:3 pbc="T T T"
I -0.760 -1.935 1.236
Sb -2.213 0.593 -0.433
Sb -0.044 1.267 1.957
B 0.000 0.000 0.000
Ru -3.017 -0.075 2.760
```

ii | Below is a geometry-optimized BSb2RuI structure, with properties calculated at the PBE level.

Summary:
Spin magnetization: 0.0003 μB per atom

Geometry as extended XYZ:
```
5
Lattice="-2.590 3.597 2.344 -4.247 -1.749 -2.010 -0.725 -3.511 4.586" Properties=species:S:1:pos:R:3 pbc="T T T"
I -0.363 -1.755 2.293
Sb -2.124 -0.874 -1.005
Sb -1.295 1.798 1.172
B -3.781 -0.831 2.460
Ru 0.000 0.000 0.000
```

Most stable structure - i; separation to the second - 22 meV per atom.